Compound: LaAl2Re
Source: the Alexandria database
Functional: PBE
Structure: optimized geometry

## Properties
* DFT formation energy: 314 meV per atom
* space group: I-42d, No. 122
* distance to the lowest polymorph of the same formula: 486 meV per atom
* magnetic moment: 0.00 μB/atom

Unit cell a=9.302 b=9.302 c=9.302 alpha=149.58 beta=149.58 gamma=43.56
Sites, in units of the cell vectors:
La 0.000 0.000 0.000
La 0.750 0.250 0.500
Al 0.357 0.625 0.232
Al 0.375 0.607 0.732
Al 0.393 0.125 0.768
Al 0.875 0.643 0.268
Re 0.250 0.750 0.500
Re 0.500 0.500 0.000

Compound: Hg2SbPb8
Source: the Alexandria database
Functional: PBE
Structure: optimized geometry

## Properties
* raw formation energy: 0.10 eV/atom
* space group: C2/m, No. 12
* magnetic moment: 0.00 μB/atom

Unit cell a=8.654 b=8.654 c=5.836 alpha=104.30 beta=104.30 gamma=60.49
Sites, in units of the cell vectors:
Hg 0.137 0.137 0.486
Hg 0.863 0.863 0.514
Sb 0.000 0.000 0.000
Pb 0.222 0.634 0.217
Pb 0.230 0.230 0.038
Pb 0.366 0.778 0.783
Pb 0.372 0.372 0.675
Pb 0.628 0.628 0.325
Pb 0.634 0.222 0.217
Pb 0.770 0.770 0.962
Pb 0.778 0.366 0.783

Compound: ReSb2Br
Source: the Alexandria database
Functional: PBE
Structure: optimized geometry

## Properties
* raw formation energy: 0.29 eV/atom
* space group: Cm, No. 8
* distance to the lowest polymorph of the same formula: 81 meV per atom
* magnetic moment: 0.00 μB/atom

Unit cell a=5.065 b=5.065 c=6.942 alpha=107.22 beta=107.22 gamma=39.96
Sites, in units of the cell vectors:
Re 0.000 0.000 0.000
Sb 0.553 0.553 0.316
Sb 0.711 0.711 0.002
Br 0.356 0.356 0.678

Compound: K2PuAuSe4
Source: the Alexandria database
Functional: PBE
Structure: optimized geometry

## Properties
* raw formation energy: -0.79 eV/atom
* space group: I-42m, No. 121
* magnetic moment: 0.37 μB/atom

Unit cell a=6.675 b=6.675 c=6.675 alpha=106.24 beta=106.24 gamma=116.15
Sites, in units of the cell vectors:
K 0.000 0.500 0.500
K 0.500 0.000 0.500
Pu 0.000 0.000 0.000
Au 0.500 0.500 0.000
Se 0.083 0.083 0.642
Se 0.440 0.440 0.358
Se 0.560 0.917 0.000
Se 0.917 0.560 0.000

Compound: Pm6Sm4Ho
Source: the Alexandria database
Functional: PBE
Structure: optimized geometry

## Properties
* DFT formation energy: 374 meV per atom
* space group: I-42m, No. 121
* distance to the lowest polymorph of the same formula: 89 meV per atom
* magnetic moment: 0.00 μB/atom

Unit cell a=8.671 b=8.671 c=8.671 alpha=128.07 beta=128.07 gamma=76.51
Sites, in units of the cell vectors:
Pm 0.000 0.500 0.500
Pm 0.038 0.587 0.000
Pm 0.413 0.413 0.452
Pm 0.500 0.000 0.500
Pm 0.587 0.038 0.000
Pm 0.962 0.962 0.548
Sm 0.249 0.249 0.659
Sm 0.409 0.751 0.000
Sm 0.591 0.591 0.341
Sm 0.751 0.409 0.000
Ho 0.000 0.000 0.000

Compound: MgZr3Al
Source: the Alexandria database
Functional: PBE
Structure: optimized geometry

## Properties
* DFT formation energy: 530 meV per atom
* space group: Pm-3m, No. 221
* distance to the lowest polymorph of the same formula: 683 meV per atom
* magnetic moment: 0.00 μB/atom

Unit cell a=5.072 b=5.072 c=5.072 alpha=90.00 beta=90.00 gamma=90.00
Sites, in units of the cell vectors:
Mg 0.000 0.000 0.000
Zr 0.000 0.500 0.500
Zr 0.500 0.000 0.500
Zr 0.500 0.500 0.000
Al 0.500 0.500 0.500

| no. | calculated volume (Å³/cell) |
| --- | --- |
| 1 | 206 |
| 2 | 365 |
| 3 | 109 |
| 4 | 227 |
| 5 | 392 |
| 6 | 130 |